1.
Pm3AgRh | PBE-GGA | optimized geometry

For the energy above the lowest structure with this stoichiometry, the calculation gives 26.2 meV per atom. The theoretical density is 8.0 g/cm3.

The space group is P2_1/c (No. 14) and the conventional cell measures 8.9745, 6.6624 and 10.3013 Å, with angles of 90.00, 119.10 and 90.00 degrees. The inequivalent atoms are Pm at (0.1242, 0.0007, 0.3124), Pm at (0.2503, 0.9997, 0.0427), Pm at (0.3062, 0.0000, 0.7045), Ag at (0.5002, 0.2084, 0.5004) and Rh at (0.0003, 0.2209, 0.5007).

=====

2.
Pm2Ag3Rh | PBE-GGA | optimized geometry

The theoretical density is 8.7 g/cm3.

The space group is Pmm2 (No. 25) and the conventional cell measures 3.5403, 4.7918 and 8.0993 Å, with angles of 90.00, 90.00 and 90.00 degrees. The inequivalent atoms are Pm at (0.0000, 0.0000, 0.0000), Pm at (0.0000, 0.5000, 0.4392), Ag at (0.5000, 0.0000, 0.6288), Ag at (0.5000, 0.5000, 0.1249), Ag at (0.5000, 0.5000, 0.7899) and Rh at (0.5000, 0.0000, 0.2901).

=====

| no. | uncorrected energy (Ha/atom) | ΔE_f (eV/atom) |
| --- | --- | --- |
| 1 | -0.1941 | -0.39 |
| 2 | -0.1671 | -0.31 |